(1)
# NaTcAuSe3

NaTcAuSe3 after structural relaxation (PBE-GGA, OQMD).

Summary:
Space-group type: Cmcm

a b c (Å): 7.6026 7.6026 10.1832
angles (deg): 90.00 90.00 151.94
Closest atoms and distances in Å follow each position.
Sites, in units of the cell vectors:
Na  0.2206  0.7794  0.7500  2 Au 2.99, 4 Se 3.02-3.11
Na  0.7794  0.2206  0.2500  2 Au 2.99, 4 Se 3.02-3.11
Tc  0.5000  0.5000  0.0000  6 Se 2.59-2.65
Tc  0.5000  0.5000  0.5000  6 Se 2.59-2.65
Au  0.1198  0.8802  0.2500  2 Se 2.44
Au  0.8802  0.1198  0.7500  2 Se 2.44
Se  0.1230  0.8770  0.0108  1 Au 2.44, 2 Tc 2.59
Se  0.1230  0.8770  0.4892  1 Au 2.44, 2 Tc 2.59
Se  0.4490  0.5510  0.2500  2 Tc 2.65
Se  0.5510  0.4490  0.7500  2 Tc 2.65
Se  0.8770  0.1230  0.5108  1 Au 2.44, 2 Tc 2.59
Se  0.8770  0.1230  0.9892  1 Au 2.44, 2 Tc 2.59

=====

(2)
# Ho2LuAl7Ag2

Ho2LuAl7Ag2 after structural relaxation (PBE-GGA, OQMD).

Summary:
Space-group type: R-3m

a b c (Å): 9.3003 9.3003 9.3003
angles (deg): 34.53 34.53 34.53
Closest atoms and distances in Å follow each position.
Sites, in units of the cell vectors:
Ho  0.1424  0.1424  0.1424  12 Al 3.16-3.25, 3 Ho 3.43
Ho  0.8576  0.8576  0.8576  12 Al 3.16-3.25, 3 Ho 3.43
Lu  0.0000  0.0000  0.0000  6 Ag 3.19, 12 Al 3.53
Al  0.0759  0.5881  0.5881  2 Ag 2.69-2.75, 5 Al 2.69-2.83
Al  0.4119  0.4119  0.9241  2 Ag 2.69-2.75, 5 Al 2.69-2.83
Al  0.4119  0.9241  0.4119  2 Ag 2.69-2.75, 5 Al 2.69-2.83
Al  0.5000  0.5000  0.5000  6 Al 2.71
Al  0.5881  0.0759  0.5881  2 Ag 2.69-2.75, 5 Al 2.69-2.83
Al  0.5881  0.5881  0.0759  2 Ag 2.69-2.75, 5 Al 2.69-2.83
Al  0.9241  0.4119  0.4119  2 Ag 2.69-2.75, 5 Al 2.69-2.83
Ag  0.3358  0.3358  0.3358  6 Al 2.69-2.75
Ag  0.6642  0.6642  0.6642  6 Al 2.69-2.75

=====

(3)
# Sc2NbSi

Sc2NbSi after structural relaxation (PBE-GGA, OQMD).

Summary:
Space-group type: F-43m

a b c (Å): 4.6804 4.6804 4.6804
angles (deg): 60.00 60.00 60.00
Closest atoms and distances in Å follow each position.
Sites, in units of the cell vectors:
Sc  0.0000  0.0000  0.0000  4 Nb 2.87, 4 Sc 2.87
Sc  0.2500  0.2500  0.2500  4 Si 2.87, 4 Sc 2.87
Nb  0.7500  0.7500  0.7500  4 Si 2.87, 4 Sc 2.87
Si  0.5000  0.5000  0.5000  4 Sc 2.87, 4 Nb 2.87

=====

What are the V values for these records? In order: 276.8 230.6 72.5 Å³ per cell.
What are the final energy values for these records? In order: -4.491 -4.218 -7.152 eV/atom.